Record 1
# TmLuAsO | the Open Quantum Materials Database | PBE | optimized geometry
# Magnetic moment = 0.0 Bohr magnetons per cell
# Final energy = -6.621 eV/atom
data_TmLuAsO
_chemical_formula_sum 'Tm2 Lu2 As2 O2'
_space_group_name_H-M_alt 'P m c 21'
_space_group_IT_number 26
_space_group_name_Hall 'P 2c -2'
_cell_length_a 4.096
_cell_length_b 7.416
_cell_length_c 5.829
_cell_angle_alpha 90.00
_cell_angle_beta 90.00
_cell_angle_gamma 90.00
loop_
_atom_site_label
_atom_site_fract_x
_atom_site_fract_y
_atom_site_fract_z
Tm1 0.000 0.216 0.000
Lu1 0.500 0.388 0.576
As1 0.000 0.160 0.487
O1 0.500 0.332 0.939

Record 2
# LaNdGa2I2 | the Open Quantum Materials Database | PBE | optimized geometry
# Magnetic moment = 0.0 Bohr magnetons per cell
# Final energy = -4.248 eV/atom
data_LaNdGa2I2
_chemical_formula_sum 'La1 Nd1 Ga2 I2'
_space_group_name_H-M_alt 'P 3 m 1'
_space_group_IT_number 156
_space_group_name_Hall 'P 3 -2"'
_cell_length_a 4.3390
_cell_length_b 4.3390
_cell_length_c 12.5134
_cell_angle_alpha 90.00
_cell_angle_beta 90.00
_cell_angle_gamma 120.00
loop_
_atom_site_label
_atom_site_fract_x
_atom_site_fract_y
_atom_site_fract_z
La1 0.0000 0.0000 0.0000
Nd1 0.0000 0.0000 0.6606
Ga1 0.3333 0.6667 0.8521
Ga2 0.6667 0.3333 0.8028
I1 0.3333 0.6667 0.4976
I2 0.6667 0.3333 0.1704

Record 3
# BaLiUS3 | the Open Quantum Materials Database | PBE | optimized geometry
# Magnetic moment = 11.7 Bohr magnetons per cell
# Final energy = -6.173 eV/atom
data_BaLiUS3
_chemical_formula_sum 'Ba4 Li4 U4 S12'
_space_group_name_H-M_alt 'C m c m'
_space_group_IT_number 63
_space_group_name_Hall '-C 2c 2'
_cell_length_a 4.089
_cell_length_b 13.633
_cell_length_c 10.332
_cell_angle_alpha 90.00
_cell_angle_beta 90.00
_cell_angle_gamma 90.00
loop_
_atom_site_label
_atom_site_fract_x
_atom_site_fract_y
_atom_site_fract_z
Ba1 0.000 0.246 0.250
Li1 0.000 0.028 0.750
U1 0.000 0.500 0.000
S1 0.000 0.131 0.563
S2 0.000 0.433 0.750